This record from the Alexandria database describes a geometry-optimized K3LiRh structure. The functional is PBE.

Properties
As for the formation energy: 0.57 eV/atom.

a b c (Å): 6.202 6.202 6.202
angles (deg): 90.00 90.00 90.00
Space group Pm-3m (No. 221)
Symmetry-distinct sites (fractional):
K 0.000 0.000 0.500 [3 per cell]
Li 0.500 0.500 0.500 [1 per cell]
Rh 0.000 0.000 0.000 [1 per cell]



This record from the Alexandria database describes a geometry-optimized Ba2CrCd structure. The functional is PBE.

Properties
As for the formation energy: 0.27 eV/atom.

a b c (Å): 13.083 4.288 5.848
angles (deg): 90.00 116.17 90.00
Space group Cm (No. 8)
Symmetry-distinct sites (fractional):
Ba 0.000 0.000 0.000 [2 per cell]
Ba 0.202 0.000 0.699 [2 per cell]
Cr 0.272 0.500 0.269 [2 per cell]
Cd 0.432 0.000 0.432 [2 per cell]



This record from the Alexandria database describes a geometry-optimized AcAgBrO2 structure. The functional is PBE.

Properties
The value obtained for the formation energy from raw total energies is -1.707 eV/atom.

a b c (Å): 5.905 13.031 5.924
angles (deg): 90.00 90.00 90.00
Space group Cmcm (No. 63)
Symmetry-distinct sites (fractional):
Ac 0.000 0.107 0.250 [4 per cell]
Ag 0.000 0.473 0.250 [4 per cell]
Br 0.000 0.251 0.750 [4 per cell]
O 0.234 0.000 0.000 [8 per cell]



This record from the Alexandria database describes a geometry-optimized PaCoTc structure. The functional is PBE.

Properties
As for the formation energy: 0.06 eV/atom.

a b c (Å): 4.3799 4.3799 2.9549
angles (deg): 90.00 90.00 120.00
Space group P3m1 (No. 156)
Symmetry-distinct sites (fractional):
Pa 0.0000 0.0000 0.0000 [1 per cell]
Co 0.3333 0.6667 0.7551 [1 per cell]
Tc 0.6667 0.3333 0.2620 [1 per cell]



This record from the Alexandria database describes a geometry-optimized Tb2NdTmBi5 structure. The functional is PBE.

Properties
As for the formation energy: -0.05 eV/atom.

a b c (Å): 5.353 5.353 12.074
angles (deg): 90.00 90.00 90.00
Space group P4/mmm (No. 123)
Symmetry-distinct sites (fractional):
Tb 0.000 0.000 0.236 [2 per cell]
Nd 0.500 0.500 0.500 [1 per cell]
Tm 0.500 0.500 0.000 [1 per cell]
Bi 0.000 0.000 0.500 [1 per cell]
Bi 0.000 0.500 0.000 [2 per cell]
Bi 0.500 0.500 0.250 [2 per cell]



This record from the Alexandria database describes a geometry-optimized LaMgTc2 structure. The functional is PBE.

Properties
As for the formation energy: 0.68 eV/atom.

a b c (Å): 2.9158 2.9158 30.5434
angles (deg): 90.00 90.00 120.00
Space group R-3m (No. 166, hexagonal axes)
Symmetry-distinct sites (fractional):
La 0.0000 0.0000 0.0000 [3 per cell]
Mg 0.0000 0.0000 0.5000 [3 per cell]
Tc 0.0000 0.0000 0.2423 [6 per cell]



This record from the Alexandria database describes a geometry-optimized CeCd3As3 structure. The functional is PBE.

Properties
As for the formation energy: -0.47 eV/atom.

a b c (Å): 21.379 7.742 4.459
angles (deg): 90.00 90.00 90.00
Space group Ama2 (No. 40)
Symmetry-distinct sites (fractional):
Ce 0.000 0.000 0.000 [4 per cell]
Cd 0.125 0.167 0.504 [8 per cell]
Cd 0.250 0.310 0.919 [4 per cell]
As 0.076 0.333 0.001 [8 per cell]
As 0.250 0.142 0.415 [4 per cell]



This record from the Alexandria database describes a geometry-optimized Nd9TmIn2 structure. The functional is PBE.

Properties
As for the formation energy: -0.17 eV/atom.

a b c (Å): 5.010 5.010 15.309
angles (deg): 90.00 90.00 90.00
Space group P4/mmm (No. 123)
Symmetry-distinct sites (fractional):
Nd 0.000 0.000 0.000 [1 per cell]
Nd 0.000 0.000 0.336 [2 per cell]
Nd 0.000 0.500 0.172 [4 per cell]
Nd 0.000 0.500 0.500 [2 per cell]
Tm 0.500 0.500 0.000 [1 per cell]
In 0.500 0.500 0.338 [2 per cell]